## K3PuU3S8 (PBE)

Data for a relaxed structure of K3PuU3S8.

Output
The value obtained for the volume is 28.39 Å³ per atom. The calculation puts the energy relative to the elements, uncorrected at -21.37 eV/f.u.

a b c (Å): 8.134 8.134 8.814
angles (deg): 117.55 117.55 59.69
Fractional coordinates of all 15 atoms:
K 0.000 0.000 0.000
K 0.000 0.500 0.000
K 0.500 0.000 0.000
Pu 0.000 0.000 0.500
U 0.000 0.500 0.500
U 0.500 0.000 0.500
U 0.500 0.500 0.500
S 0.235 0.727 0.696
S 0.236 0.236 0.697
S 0.266 0.266 0.298
S 0.273 0.765 0.304
S 0.727 0.235 0.696
S 0.734 0.734 0.702
S 0.764 0.764 0.303
S 0.765 0.273 0.304



## K3Pu2VS6 (PBE)

Data for a relaxed structure of K3Pu2VS6.

Output
The value obtained for the volume is 24.67 Å³ per atom. The calculation puts the energy relative to the elements, uncorrected at -16.63 eV/f.u.

a b c (Å): 6.828 6.828 7.682
angles (deg): 98.55 98.55 120.02
Fractional coordinates of all 12 atoms:
K 0.000 0.000 0.000
K 0.331 0.669 0.000
K 0.669 0.331 0.000
Pu 0.166 0.834 0.500
Pu 0.834 0.166 0.500
V 0.500 0.500 0.500
S 0.122 0.435 0.305
S 0.252 0.252 0.695
S 0.435 0.122 0.305
S 0.565 0.878 0.695
S 0.748 0.748 0.305
S 0.878 0.565 0.695



## K4Pu3VS8 (PBE)

Data for a relaxed structure of K4Pu3VS8.

Output
The value obtained for the volume is 25.24 Å³ per atom. The calculation puts the energy relative to the elements, uncorrected at -22.89 eV/f.u.

a b c (Å): 8.659 8.659 8.659
angles (deg): 54.84 54.84 54.84
Fractional coordinates of all 16 atoms:
K 0.000 0.000 0.000
K 0.000 0.500 0.500
K 0.500 0.000 0.500
K 0.500 0.500 0.000
Pu 0.000 0.000 0.500
Pu 0.000 0.500 0.000
Pu 0.500 0.000 0.000
V 0.500 0.500 0.500
S 0.235 0.235 0.235
S 0.249 0.722 0.722
S 0.278 0.278 0.751
S 0.278 0.751 0.278
S 0.722 0.249 0.722
S 0.722 0.722 0.249
S 0.751 0.278 0.278
S 0.765 0.765 0.765